A plane-wave DFT calculation with PBE+U was carried out for a relaxed MnBeO2 crystal.

It has space group R-3m (No. 166, hexagonal axes), with a = 3.2394 Å, b = 3.2394 Å, c = 15.4381 Å, α = 90.00°, β = 90.00° and γ = 120.00°. The distinct sites, in fractional coordinates, are Mn at (0.0000, 0.0000, 0.0000), Be at (0.0000, 0.0000, 0.5000) and O at (0.0000, 0.0000, 0.4074).

The total energy comes out at -7.15 eV/atom. The value obtained for the density of states at the Fermi level is 0.000 states/eV/cell.